Entry 1:
Material: Sr2CrCl
Method: DFT, PBE
State: optimized geometry

Structure (CIF):
```
data_Sr2CrCl
_cell_length_a 4.234
_cell_length_b 6.985
_cell_length_c 9.958
_cell_angle_alpha 90.00
_cell_angle_beta 90.00
_cell_angle_gamma 90.00
_symmetry_space_group_name_H-M 'I m m m'
_symmetry_Int_Tables_number 71
_symmetry_space_group_name_Hall '-I 2 2'
loop_
_atom_site_label
_atom_site_type_symbol
_atom_site_fract_x
_atom_site_fract_y
_atom_site_fract_z
_atom_site_occupancy
Sr1 Sr 0.000 0.000 0.212 1
Cr1 Cr 0.000 0.500 0.000 1
Cl1 Cl 0.000 0.500 0.500 1
```

Summary:
The value obtained for the uncorrected formation energy is -1.0 eV per formula unit. The energy above the most stable polymorph in this dataset comes out at 180.3 meV per atom.



Entry 2:
Material: TlBiSbPb
Method: DFT, PBE
State: optimized geometry

Structure (CIF):
```
data_TlBiSbPb
_cell_length_a 5.289
_cell_length_b 4.367
_cell_length_c 10.708
_cell_angle_alpha 90.00
_cell_angle_beta 90.42
_cell_angle_gamma 90.00
_symmetry_space_group_name_H-M 'C 1 m 1'
_symmetry_Int_Tables_number 8
loop_
_symmetry_equiv_pos_as_xyz
'x,y,z'
'x,-y,z'
'x+1/2,y+1/2,z'
'x+1/2,-y+1/2,z'
loop_
_atom_site_label
_atom_site_type_symbol
_atom_site_fract_x
_atom_site_fract_y
_atom_site_fract_z
_atom_site_occupancy
Tl1 Tl 0.000 0.000 0.000 1
Bi1 Bi 0.009 0.500 0.262 1
Sb1 Sb 0.005 0.500 0.753 1
Pb1 Pb 0.003 0.000 0.513 1
```

Summary:
The value obtained for the uncorrected formation energy is 0.2 eV per formula unit. The energy above the most stable polymorph in this dataset comes out at 0.0 meV per atom.